Model one:
Density functional theory data (PBEsol) for Y2MgTaCd after structural relaxation.

Lattice parameters (Å, degrees): 5.2821 5.2821 5.4203 90.00 90.00 90.00
With the nearest neighbours (Å) after each atom.
Space group P4/mmm (No. 123)
Unique sites:
Y: 0.0000 0.5000 0.0000 [2 per cell]  2 Ta 2.64
Mg: 0.0000 0.0000 0.5000 [1 per cell]  4 Cd 3.73, 8 Y 3.78
Ta: 0.5000 0.5000 0.0000 [1 per cell]  4 Y 2.64, 2 Cd 2.71
Cd: 0.5000 0.5000 0.5000 [1 per cell]  2 Ta 2.71

## Properties
D(E_F) ... 3.439 states/eV/cell

Model two:
Density functional theory data (PBEsol) for Y2MgTaCd after structural relaxation.

Lattice parameters (Å, degrees): 5.3131 5.3131 4.9063 90.00 90.00 90.00
With the nearest neighbours (Å) after each atom.
Space group P4/mmm (No. 123)
Unique sites:
Y: 0.0000 0.5000 0.0000 [2 per cell]  2 Mg 2.66
Mg: 0.0000 0.0000 0.0000 [1 per cell]  2 Ta 2.45, 4 Y 2.66
Ta: 0.0000 0.0000 0.5000 [1 per cell]  2 Mg 2.45
Cd: 0.5000 0.5000 0.5000 [1 per cell]  8 Y 3.62, 4 Ta 3.76

## Properties
D(E_F) ... 2.699 states/eV/cell

Last place for stability: model two